No. 1
{"formula": "SnPtO4", "functional": "GGA-PBE", "state": "optimized geometry", "lattice_angstrom": [[4.7477, -1.6057, 0.0000], [4.7477, 1.6057, 0.0000], [-1.1515, 0.0000, 5.4104]], "species": ["Sn", "Pt", "O", "O", "O", "O"], "fractional_positions": [[0.0000, 0.0000, 0.0000], [0.5000, 0.5000, 0.5000], [0.1041, 0.1041, 0.3826], [0.3927, 0.3927, 0.1385], [0.6073, 0.6073, 0.8615], [0.8959, 0.8959, 0.6174]], "sg": "C2/m, No. 12"}

No. 2
{"formula": "SnPtO2", "functional": "GGA-PBE", "state": "optimized geometry", "lattice_angstrom": [[-2.6852, 2.6852, 4.4765], [2.6852, -2.6852, 4.4765], [2.6852, 2.6852, -4.4765]], "species": ["Sn", "Sn", "Pt", "Pt", "O", "O", "O", "O"], "fractional_positions": [[0.0000, 0.0000, 0.0000], [0.7500, 0.2500, 0.5000], [0.2500, 0.7500, 0.5000], [0.5000, 0.5000, 0.0000], [0.0848, 0.6250, 0.9598], [0.3750, 0.3348, 0.4598], [0.6652, 0.1250, 0.0402], [0.8750, 0.9152, 0.5402]], "sg": "I-42d, No. 122"}

No. 3
{"formula": "SrSnPtO6", "functional": "GGA-PBE", "state": "optimized geometry", "lattice_angstrom": [[5.0248, 0.0000, 0.0000], [0.0000, 5.0248, 0.0000], [0.0000, 0.0000, 9.9859]], "species": ["Sr", "Sr", "Sn", "Sn", "Pt", "Pt", "O", "O", "O", "O", "O", "O", "O", "O", "O", "O", "O", "O"], "fractional_positions": [[0.0000, 0.0000, 0.0000], [0.5000, 0.5000, 0.5000], [0.0000, 0.0000, 0.6603], [0.5000, 0.5000, 0.1603], [0.0000, 0.0000, 0.3295], [0.5000, 0.5000, 0.8295], [0.1718, 0.1718, 0.4846], [0.2112, 0.2112, 0.1861], [0.2258, 0.2258, 0.8126], [0.2742, 0.7258, 0.3126], [0.2888, 0.7112, 0.6861], [0.3282, 0.6718, 0.9846], [0.6718, 0.3282, 0.9846], [0.7112, 0.2888, 0.6861], [0.7258, 0.2742, 0.3126], [0.7742, 0.7742, 0.8126], [0.7888, 0.7888, 0.1861], [0.8282, 0.8282, 0.4846]], "sg": "P4_2nm, No. 102"}

No. 4
{"formula": "Sr2SnPtO6", "functional": "GGA-PBE", "state": "optimized geometry", "lattice_angstrom": [[5.7398, 0.0000, 0.0000], [0.0000, 5.7533, 0.0000], [-5.7055, 0.0000, 8.0975]], "species": ["Sr", "Sr", "Sr", "Sr", "Sn", "Sn", "Pt", "Pt", "O", "O", "O", "O", "O", "O", "O", "O", "O", "O", "O", "O"], "fractional_positions": [[0.2411, 0.0388, 0.2492], [0.2411, 0.4612, 0.7492], [0.7589, 0.5388, 0.2508], [0.7589, 0.9612, 0.7508], [0.5000, 0.0000, 0.0000], [0.5000, 0.5000, 0.5000], [0.0000, 0.0000, 0.5000], [0.0000, 0.5000, 0.0000], [0.1663, 0.2127, 0.9584], [0.1663, 0.2873, 0.4584], [0.2450, 0.7097, 0.9578], [0.2450, 0.7903, 0.4578], [0.3274, 0.0173, 0.7479], [0.3274, 0.4827, 0.2479], [0.6726, 0.5173, 0.7521], [0.6726, 0.9827, 0.2521], [0.7550, 0.2097, 0.5422], [0.7550, 0.2903, 0.0422], [0.8337, 0.7127, 0.5416], [0.8337, 0.7873, 0.0416]], "sg": "P2_1/c, No. 14"}

No. 5
{"formula": "TbSnPtO6", "functional": "GGA-PBE", "state": "optimized geometry", "lattice_angstrom": [[5.4316, 0.0000, 0.0000], [-2.7158, 4.7039, 0.0000], [0.0000, 0.0000, 8.9463]], "species": ["Tb", "Tb", "Sn", "Sn", "Pt", "Pt", "O", "O", "O", "O", "O", "O", "O", "O", "O", "O", "O", "O"], "fractional_positions": [[0.3333, 0.6667, 0.2500], [0.6667, 0.3333, 0.7500], [0.0000, 0.0000, 0.0000], [0.0000, 0.0000, 0.5000], [0.3333, 0.6667, 0.7500], [0.6667, 0.3333, 0.2500], [0.0325, 0.3503, 0.6222], [0.0325, 0.6821, 0.8778], [0.3179, 0.3503, 0.8778], [0.3179, 0.9675, 0.6222], [0.3503, 0.0325, 0.1222], [0.3503, 0.3179, 0.3778], [0.6497, 0.6821, 0.6222], [0.6497, 0.9675, 0.8778], [0.6821, 0.0325, 0.3778], [0.6821, 0.6497, 0.1222], [0.9675, 0.3179, 0.1222], [0.9675, 0.6497, 0.3778]], "sg": "P-31c, No. 163"}

No. 6
{"formula": "SnTe2PtO", "functional": "GGA-PBE", "state": "optimized geometry", "lattice_angstrom": [[4.7312, 0.0000, 0.0000], [0.0000, 4.7312, 0.0000], [0.0000, 0.0000, 4.8199]], "species": ["Sn", "Te", "Te", "Pt", "O"], "fractional_positions": [[0.0000, 0.0000, 0.0000], [0.0000, 0.5000, 0.5000], [0.5000, 0.0000, 0.5000], [0.5000, 0.5000, 0.0000], [0.0000, 0.0000, 0.5000]], "sg": "P4/mmm, No. 123"}

No. 7
{"formula": "TlSnPtO4", "functional": "GGA-PBE", "state": "optimized geometry", "lattice_angstrom": [[-2.9242, 3.2002, 5.7992], [2.9242, -3.2002, 5.7992], [2.9242, 3.2002, -5.7992]], "species": ["Tl", "Tl", "Sn", "Sn", "Pt", "Pt", "O", "O", "O", "O", "O", "O", "O", "O"], "fractional_positions": [[0.4141, 0.1641, 0.2500], [0.5859, 0.8359, 0.7500], [0.0000, 0.5000, 0.5000], [0.5000, 0.5000, 0.0000], [0.0000, 0.0000, 0.5000], [0.0000, 0.5000, 0.0000], [0.1385, 0.6891, 0.4494], [0.2604, 0.3109, 0.9494], [0.2666, 0.2882, 0.5215], [0.2666, 0.7451, 0.9785], [0.7334, 0.2549, 0.0215], [0.7334, 0.7118, 0.4785], [0.7396, 0.6891, 0.0506], [0.8615, 0.3109, 0.5506]], "sg": "Imma, No. 74"}

No. 8
{"formula": "TmSnPtO6", "functional": "GGA-PBE", "state": "optimized geometry", "lattice_angstrom": [[5.3662, 0.0000, 0.0000], [-2.6831, 4.6472, 0.0000], [0.0000, 0.0000, 8.9812]], "species": ["Tm", "Tm", "Sn", "Sn", "Pt", "Pt", "O", "O", "O", "O", "O", "O", "O", "O", "O", "O", "O", "O"], "fractional_positions": [[0.3333, 0.6667, 0.2500], [0.6667, 0.3333, 0.7500], [0.0000, 0.0000, 0.0000], [0.0000, 0.0000, 0.5000], [0.3333, 0.6667, 0.7500], [0.6667, 0.3333, 0.2500], [0.0256, 0.3488, 0.6237], [0.0256, 0.6768, 0.8763], [0.3232, 0.3488, 0.8763], [0.3232, 0.9744, 0.6237], [0.3488, 0.0256, 0.1237], [0.3488, 0.3232, 0.3763], [0.6512, 0.6768, 0.6237], [0.6512, 0.9744, 0.8763], [0.6768, 0.0256, 0.3763], [0.6768, 0.6512, 0.1237], [0.9744, 0.3232, 0.1237], [0.9744, 0.6512, 0.3763]], "sg": "P-31c, No. 163"}

No. 9
{"formula": "YSnPtO6", "functional": "GGA-PBE", "state": "optimized geometry", "lattice_angstrom": [[5.4220, 0.0000, 0.0000], [-2.7110, 4.6956, 0.0000], [0.0000, 0.0000, 8.9456]], "species": ["Y", "Y", "Sn", "Sn", "Pt", "Pt", "O", "O", "O", "O", "O", "O", "O", "O", "O", "O", "O", "O"], "fractional_positions": [[0.3333, 0.6667, 0.2500], [0.6667, 0.3333, 0.7500], [0.0000, 0.0000, 0.0000], [0.0000, 0.0000, 0.5000], [0.3333, 0.6667, 0.7500], [0.6667, 0.3333, 0.2500], [0.0313, 0.3502, 0.6224], [0.0313, 0.6811, 0.8776], [0.3189, 0.3502, 0.8776], [0.3189, 0.9687, 0.6224], [0.3502, 0.0313, 0.1224], [0.3502, 0.3189, 0.3776], [0.6498, 0.6811, 0.6224], [0.6498, 0.9687, 0.8776], [0.6811, 0.0313, 0.3776], [0.6811, 0.6498, 0.1224], [0.9687, 0.3189, 0.1224], [0.9687, 0.6498, 0.3776]], "sg": "P-31c, No. 163"}

No. 10
{"formula": "ZnSnPt2O", "functional": "GGA-PBE", "state": "optimized geometry", "lattice_angstrom": [[5.0886, 0.0000, 0.0000], [0.0000, 5.0886, 0.0000], [0.0000, 0.0000, 3.9248]], "species": ["Zn", "Sn", "Pt", "Pt", "O"], "fractional_positions": [[0.0000, 0.0000, 0.0000], [0.5000, 0.5000, 0.5000], [0.0000, 0.5000, 0.5000], [0.5000, 0.0000, 0.5000], [0.5000, 0.5000, 0.0000]], "sg": "P4/mmm, No. 123"}

No. 11
{"formula": "SrPtO", "functional": "GGA-PBE", "state": "optimized geometry", "lattice_angstrom": [[3.9356, 0.0000, 0.0000], [0.0000, 3.8195, 3.7558], [0.0000, -3.8195, 3.7558]], "species": ["Sr", "Sr", "Pt", "Pt", "O", "O"], "fractional_positions": [[0.0000, 0.2186, 0.7814], [0.0000, 0.7814, 0.2186], [0.5000, 0.3187, 0.3187], [0.5000, 0.6731, 0.6731], [0.0000, 0.7275, 0.7275], [0.5000, 0.0448, 0.0448]], "sg": "Amm2, No. 38"}

No. 12
{"formula": "Sr2PtO", "functional": "GGA-PBE", "state": "optimized geometry", "lattice_angstrom": [[1.9570, 1.1298, 6.8949], [-1.9570, 1.1298, 6.8949], [0.0000, -2.2597, 6.8949]], "species": ["Sr", "Sr", "Pt", "O"], "fractional_positions": [[0.2369, 0.2369, 0.2369], [0.7631, 0.7631, 0.7631], [0.0000, 0.0000, 0.0000], [0.5000, 0.5000, 0.5000]], "sg": "R-3m, No. 166"}

Number 1: V 82.49 Å³ per cell, raw total energy -5.97 eV/atom. Number 2: V 129.11 Å³ per cell, raw total energy -5.23 eV/atom. Number 3: V 252.13 Å³ per cell, raw total energy -5.75 eV/atom. Number 4: V 267.40 Å³ per cell, raw total energy -6.14 eV/atom. Number 5: V 228.57 Å³ per cell, raw total energy -6.47 eV/atom. Number 6: V 107.89 Å³ per cell, raw total energy -4.06 eV/atom. Number 7: V 217.08 Å³ per cell, raw total energy -5.45 eV/atom. Number 8: V 223.97 Å³ per cell, raw total energy -6.50 eV/atom. Number 9: V 227.75 Å³ per cell, raw total energy -6.67 eV/atom. Number 10: V 101.63 Å³ per cell, raw total energy -4.10 eV/atom. Number 11: V 112.92 Å³ per cell, raw total energy -5.67 eV/atom. Number 12: V 91.47 Å³ per cell, raw total energy -5.15 eV/atom.